# CoAs2RhO8

CoAs2RhO8 after structural relaxation (PBE+U, Alexandria via LeMat-Bulk).

Computed properties:
- uncorrected energy (eV/cell) = -70.57
- size of the total moment (μB/f.u.) = 4.06
- space-group type = P-3m1, No. 164
- density of states at the Fermi level (states/eV/f.u.) = 3.8

Unit cell a=5.493 b=5.493 c=5.824 alpha=90.00 beta=90.00 gamma=120.00
Last column: magnetic moment on the atom in μB.
Sites, in units of the cell vectors:
O (0.333, 0.667, 0.395)  0.02
O (0.846, 0.154, 0.242)  0.10
O (0.846, 0.692, 0.242)  0.10
O (0.308, 0.154, 0.242)  0.10
O (0.154, 0.846, 0.758)  0.10
O (0.692, 0.846, 0.758)  0.10
O (0.667, 0.333, 0.605)  0.02
O (0.154, 0.308, 0.758)  0.10
Rh (0.000, 0.000, 0.000)  0.35
As (0.333, 0.667, 0.679)  0.01
As (0.667, 0.333, 0.321)  0.01
Co (0.000, 0.000, 0.500)  2.89